Entry 1:
Below is crystalline K2ZrAl at its relaxed geometry, with properties calculated at the GGA-PBE level.

abc: 5.5521 5.5521 5.5521
angles: 60.00 60.00 60.00
Last column: magnetic moment on the atom in μB.
Sites, in units of the cell vectors:
K 0.0000 0.0000 0.0000  0.03
K 0.2500 0.2500 0.2500  0.01
Al 0.5000 0.5000 0.5000  -0.05
Zr 0.7500 0.7500 0.7500  0.67

Values from the calculation:
Raw total energy, eV per atom: -2.7841


Entry 2:
Below is crystalline Sm3GaHg at its relaxed geometry, with properties calculated at the GGA-PBE level.

abc: 4.3788 7.3148 10.1662
angles: 90.00 90.00 107.42
Sites, in units of the cell vectors:
Sm 0.1248 0.2496 0.7500
Sm 0.8752 0.7504 0.2500
Sm 0.3447 0.6895 0.5633
Sm 0.6553 0.3105 0.4367
Sm 0.6553 0.3105 0.0633
Sm 0.3447 0.6895 0.9367
Ga 0.2290 0.4580 0.2500
Ga 0.7710 0.5420 0.7500
Hg 0.0000 0.0000 0.5000
Hg 0.0000 0.0000 0.0000

Values from the calculation:
Excess energy over the best structure of this formula in the dataset, kJ/mol of atoms: 8.9


Entry 3:
Below is crystalline SrLi2Sn2 at its relaxed geometry, with properties calculated at the GGA-PBE level.

abc: 4.5407 4.5407 7.3514
angles: 90.00 90.00 115.38
Sites, in units of the cell vectors:
Sr 0.0000 0.0000 0.0000
Li 0.8348 0.1652 0.5000
Li 0.1652 0.8348 0.5000
Sn 0.5000 0.5000 0.6912
Sn 0.5000 0.5000 0.3088

Values from the calculation:
Excess energy over the best structure of this formula in the dataset, kJ/mol of atoms: 6.8


Entry 4:
Below is crystalline Rb2AcPmS4 at its relaxed geometry, with properties calculated at the GGA-PBE level.

abc: 4.3297 7.5045 8.1179
angles: 107.88 90.00 90.00
Sites, in units of the cell vectors:
Rb 0.5000 0.0000 0.5000
Rb 0.0000 0.5000 0.5000
Ac 0.0000 0.0000 0.0000
Pm 0.5000 0.5000 0.0000
S 0.5000 0.2461 0.2015
S 0.5000 0.7539 0.7985
S 0.0000 0.2785 0.8031
S 0.0000 0.7215 0.1969

Values from the calculation:
E_form (uncorrected), meV/atom: -1846